VASP calculation (GGA-PBE) on crystalline SrZrHg3 at its relaxed geometry.

a = 5.5513 Å, b = 5.5513 Å, c = 5.5513 Å
α = 90.00°, β = 90.00°, γ = 90.00°
Closest atoms and distances in Å follow each position.
Fractional coordinates of all 5 atoms:
Sr: 0.0000 0.0000 0.0000  12 Hg 3.93
Zr: 0.5000 0.5000 0.5000  6 Hg 2.78
Hg: 0.0000 0.5000 0.5000  2 Zr 2.78
Hg: 0.5000 0.0000 0.5000  2 Zr 2.78
Hg: 0.5000 0.5000 0.0000  2 Zr 2.78

Results
E_form: 0.0936 eV/atom
symmetry: Pm-3m, No. 221
size of the total moment: 1.611 μB per cell
excess energy over the best structure of this formula in the dataset: 0.00 eV/f.u.

=====

VASP calculation (GGA-PBE) on crystalline Cs3RuCl at its relaxed geometry.

a = 5.9016 Å, b = 5.9016 Å, c = 5.9016 Å
α = 90.00°, β = 90.00°, γ = 90.00°
Closest atoms and distances in Å follow each position.
Fractional coordinates of all 5 atoms:
Cs: 0.0000 0.0000 0.5000  2 Ru 2.95
Cs: 0.0000 0.5000 0.0000  2 Ru 2.95
Cs: 0.5000 0.0000 0.0000  2 Ru 2.95
Ru: 0.0000 0.0000 0.0000  6 Cs 2.95
Cl: 0.5000 0.5000 0.5000  12 Cs 4.17

Results
symmetry: Pm-3m, No. 221
size of the total moment: 0.000 μB per cell
excess energy over the best structure of this formula in the dataset: 0.00 eV/f.u.
raw formation energy: 0.3 eV per formula unit

=====

VASP calculation (GGA-PBE) on crystalline TmZrAgIr at its relaxed geometry.

a = 4.8334 Å, b = 4.8334 Å, c = 4.8334 Å
α = 60.00°, β = 60.00°, γ = 60.00°
Closest atoms and distances in Å follow each position.
Fractional coordinates of all 4 atoms:
Tm: 0.0000 0.0000 0.0000  4 Ir 2.96, 4 Ag 2.96
Zr: 0.5000 0.5000 0.5000  4 Ir 2.96, 4 Ag 2.96
Ag: 0.2500 0.2500 0.2500  4 Zr 2.96, 4 Tm 2.96
Ir: 0.7500 0.7500 0.7500  4 Zr 2.96, 4 Tm 2.96

Results
E_form: -0.5086 eV/atom
symmetry: F-43m, No. 216
size of the total moment: 0.000 μB per cell